# 1
This record from the Alexandria database describes a relaxed structure of AcSn2Pt. The functional is GGA-PBE.

Computed properties:
Density (Mg/m³): 10.3
Magnetic moment (μB per atom): 0.000
ΔE_f (eV per atom): -0.37
Total DFT energy (no corrections) (eV per atom): -4.91
Excess energy over the best structure of this formula in the dataset (eV per atom): 0.4756

abc: 5.5759 5.5759 11.9018
angles: 90.00 90.00 120.00
Space group R-3m (No. 166, hexagonal axes)
Asymmetric unit:
Ac 0.0000 0.0000 0.0000
Sn 0.0000 0.0000 0.2698
Pt 0.0000 0.0000 0.5000

# 2
This record from the Alexandria database describes a relaxed structure of Ac2Sn3Pt. The functional is GGA-PBE.

Computed properties:
Density (Mg/m³): 9.7
Magnetic moment (μB per atom): 0.000
ΔE_f (eV per atom): -0.76
Total DFT energy (no corrections) (eV per atom): -5.14
Excess energy over the best structure of this formula in the dataset (eV per atom): 0.0183

abc: 11.9912 4.8344 7.8104
angles: 90.00 130.42 90.00
Space group Cm (No. 8)
Asymmetric unit:
Ac 0.0000 0.0000 0.0000
Ac 0.1250 0.0000 0.6451
Sn 0.2399 0.5000 0.0896
Sn 0.3759 0.0000 0.5630
Sn 0.4421 0.0000 0.2312
Pt 0.2380 0.5000 0.4506

# 3
This record from the Alexandria database describes a relaxed structure of Ac2Sn2Pt15. The functional is GGA-PBE.

Computed properties:
Density (Mg/m³): 16.9
Magnetic moment (μB per atom): 0.000
ΔE_f (eV per atom): -0.53
Total DFT energy (no corrections) (eV per atom): -6.16

abc: 9.5405 9.5405 13.5476
angles: 90.00 90.00 120.00
Space group R-3m (No. 166, hexagonal axes)
Asymmetric unit:
Ac 0.0000 0.0000 0.1490
Sn 0.0000 0.0000 0.3971
Pt 0.0000 0.3202 0.5000
Pt 0.0000 0.5000 0.0000
Pt 0.0028 0.5014 0.6612

# 4
This record from the Alexandria database describes a relaxed structure of Ac2Sn3Pt2. The functional is GGA-PBE.

Computed properties:
Density (Mg/m³): 10.8
Magnetic moment (μB per atom): 0.000
ΔE_f (eV per atom): -0.80
Total DFT energy (no corrections) (eV per atom): -5.41
Excess energy over the best structure of this formula in the dataset (eV per atom): 0.0000

abc: 10.8919 4.6131 7.7997
angles: 90.00 108.89 90.00
Space group C2/m (No. 12)
Asymmetric unit:
Ac 0.1487 0.0000 0.2976
Sn 0.0000 0.5000 0.5000
Sn 0.1208 0.5000 0.9407
Pt 0.1542 0.0000 0.7556

# 5
This record from the Alexandria database describes a relaxed structure of Ac7Sn2Pt2. The functional is GGA-PBE.

Computed properties:
Density (Mg/m³): 8.9
Magnetic moment (μB per atom): 0.000
ΔE_f (eV per atom): -0.58
Total DFT energy (no corrections) (eV per atom): -5.02
Excess energy over the best structure of this formula in the dataset (eV per atom): 0.0808

abc: 8.8532 12.2147 7.6068
angles: 90.00 90.00 90.00
Space group Cmmm (No. 65)
Asymmetric unit:
Ac 0.0000 0.0000 0.0000
Ac 0.0000 0.5000 0.2409
Ac 0.2500 0.2500 0.2593
Sn 0.1684 0.0000 0.5000
Pt 0.0000 0.2847 0.0000

# 6
This record from the Alexandria database describes a relaxed structure of Ac6SnPt3. The functional is GGA-PBE.

Computed properties:
Density (Mg/m³): 9.6
Magnetic moment (μB per atom): 0.000
ΔE_f (eV per atom): -0.87
Total DFT energy (no corrections) (eV per atom): -5.55

abc: 12.7407 4.5470 12.9705
angles: 90.00 108.63 90.00
Space group P2_1/m (No. 11)
Asymmetric unit:
Ac 0.0254 0.2500 0.3878
Ac 0.1107 0.2500 0.9462
Ac 0.2171 0.7500 0.2630
Ac 0.3002 0.7500 0.7565
Ac 0.3673 0.2500 0.5363
Ac 0.4192 0.7500 0.0878
Sn 0.4445 0.2500 0.3054
Pt 0.0496 0.2500 0.1616
Pt 0.1794 0.7500 0.4942
Pt 0.3448 0.2500 0.9166